{"formula": "PmZnTe", "functional": "PBE", "state": "relaxed", "lattice_angstrom": [[4.705, 0.000, 0.000], [2.352, 4.041, 0.527], [2.352, 2.551, 10.600]], "species": ["Pm", "Pm", "Zn", "Zn", "Te", "Te"], "fractional_positions": [[0.004, 0.671, 0.321], [0.996, 0.329, 0.679], [0.666, 0.154, 0.513], [0.334, 0.846, 0.487], [0.340, 0.137, 0.182], [0.660, 0.863, 0.818]], "dft_energy_ev_per_cell": -23.2, "m_tot_mub_per_cell": 0.000, "dos_ef_per_ev_cell": 1.0, "vol_a3_per_atom": 32.530, "e_form_raw_ev_per_atom": -0.82}